Tb3NdRh2 PBE relaxed; D(E_F) = 0.871 states/eV per atom; total magnetization = 0.0 μB/cell; DFT total energy = -6.118 eV/atom; energy of formation from the pure elements = -0.557 eV per atom
1.0
8.164 -2.135 0.000
8.164 2.135 0.000
-4.950 0.000 9.738
Tb Nd Rh
6 2 4
Direct
0.075 0.075 0.169
0.171 0.171 0.532
0.288 0.288 0.907
0.712 0.712 0.093
0.829 0.829 0.468
0.925 0.925 0.831
0.444 0.444 0.288
0.556 0.556 0.712
0.118 0.118 0.920
0.363 0.363 0.652
0.637 0.637 0.348
0.882 0.882 0.080